Here is an optimized crystal structure of DyPu2Tl3Te6 from Alexandria. Energies are from GGA-PBE.

a b c (Å): 7.768 7.768 8.554
angles (deg): 98.70 98.70 119.99
Fractional positions:
1 Te 0.071 0.402 0.214
2 Te 0.402 0.071 0.214
3 Te 0.598 0.929 0.786
4 Te 0.741 0.741 0.215
5 Te 0.929 0.598 0.786
6 Te 0.259 0.259 0.785
7 Pu 0.666 0.334 0.000
8 Pu 0.334 0.666 0.000
9 Tl 0.168 0.832 0.500
10 Tl 0.500 0.500 0.500
11 Tl 0.832 0.168 0.500
12 Dy 0.000 0.000 0.000

Properties
total magnetic moment: 0.834 μB/atom
uncorrected energy: -69.63 eV per cell
raw formation energy: -0.868 eV/atom
V: 426 Å³/cell


Here is an optimized crystal structure of ZrTeMoN2 from Alexandria. Energies are from GGA-PBE.

a b c (Å): 4.015 4.015 5.454
angles (deg): 90.00 90.00 90.00
Fractional positions:
1 N 0.000 0.500 0.000
2 N 0.500 0.000 0.000
3 Mo 0.000 0.000 0.000
4 Te 0.000 0.000 0.500
5 Zr 0.500 0.500 0.500

Properties
total magnetic moment: 0.000 μB/atom
uncorrected energy: -37.18 eV per cell
excess energy over the best structure of this formula in the dataset: 0.000 eV per atom
raw formation energy: 0.399 eV/atom
V: 88 Å³/cell


Here is an optimized crystal structure of BaSrTl2Cd2 from Alexandria. Energies are from GGA-PBE.

a b c (Å): 5.223 5.223 8.335
angles (deg): 90.00 90.00 120.00
Fractional positions:
1 Cd 0.333 0.667 0.713
2 Cd 0.667 0.333 0.287
3 Tl 0.667 0.333 0.720
4 Tl 0.333 0.667 0.280
5 Sr 0.000 0.000 0.500
6 Ba 0.000 0.000 0.000

Properties
total magnetic moment: 0.000 μB/atom
uncorrected energy: -12.31 eV per cell
formation enthalpy at 0 K: -0.357 eV per atom
V: 197 Å³/cell


Here is an optimized crystal structure of AlVGe3 from Alexandria. Energies are from GGA-PBE.

a b c (Å): 4.812 4.812 4.812
angles (deg): 90.00 90.00 90.00
Fractional positions:
1 V 0.500 0.500 0.500
2 Al 0.000 0.000 0.000
3 Ge 0.500 0.000 0.000
4 Ge 0.000 0.500 0.000
5 Ge 0.000 0.000 0.500

Properties
total magnetic moment: 0.651 μB/atom
uncorrected energy: -22.15 eV per cell
formation enthalpy at 0 K: 0.913 eV per atom
excess energy over the best structure of this formula in the dataset: 0.573 eV per atom
V: 111 Å³/cell


Here is an optimized crystal structure of ScCuNF2 from Alexandria. Energies are from GGA-PBE.

a b c (Å): 3.769 3.769 4.128
angles (deg): 90.00 90.00 90.00
Fractional positions:
1 F 0.000 0.500 0.000
2 F 0.500 0.000 0.000
3 Sc 0.500 0.500 0.500
4 Cu 0.000 0.000 0.000
5 N 0.000 0.000 0.500

Properties
total magnetic moment: 0.000 μB/atom
uncorrected energy: -27.63 eV per cell
excess energy over the best structure of this formula in the dataset: 0.360 eV per atom
raw formation energy: -1.026 eV/atom
V: 59 Å³/cell


Here is an optimized crystal structure of CuPtS from Alexandria. Energies are from GGA-PBE.

a b c (Å): 3.666 3.829 7.056
angles (deg): 95.85 90.36 98.13
Fractional positions:
1 Cu 0.263 0.805 0.205
2 Cu 0.036 0.256 0.504
3 Pt 0.824 0.228 0.024
4 Pt 0.381 0.590 0.840
5 S 0.556 0.355 0.325
6 S 0.934 0.909 0.740

Properties
total magnetic moment: 0.000 μB/atom
uncorrected energy: -28.99 eV per cell
excess energy over the best structure of this formula in the dataset: 0.104 eV per atom
raw formation energy: -0.077 eV/atom
V: 98 Å³/cell